First-principles (PBE) data for an optimized crystal structure of Li4Mg2PtAu, as listed in the Open Quantum Materials Database.

Cell lengths 4.4648, 4.4648, 6.3412 Å; angles 90.00, 90.00, 90.00 degrees
Closest atoms and distances in Å follow each position.
Sites, in units of the cell vectors:
Li1 0.0000 0.0000 0.0000  4 Mg 2.69, 4 Li 2.71
Li2 0.0000 0.5000 0.2434  4 Li 2.71-2.76, 2 Pt 2.71, 2 Au 2.76
Li3 0.5000 0.0000 0.7566  4 Li 2.71-2.76, 2 Pt 2.71, 2 Au 2.76
Li4 0.5000 0.5000 0.5000  4 Li 2.76, 4 Mg 2.78
Mg1 0.0000 0.5000 0.7624  4 Li 2.69-2.78, 2 Pt 2.69, 2 Au 2.78
Mg2 0.5000 0.0000 0.2376  4 Li 2.69-2.78, 2 Pt 2.69, 2 Au 2.78
Pt1 0.5000 0.5000 0.0000  4 Mg 2.69, 4 Li 2.71
Au1 0.0000 0.0000 0.5000  4 Li 2.76, 4 Mg 2.78

Output
- uncorrected energy (eV/atom) = -2.996
- space-group type = No. 115

First-principles (PBE) data for an optimized crystal structure of Li2Mg4PtAu, as listed in the Open Quantum Materials Database.

Cell lengths 4.5724, 4.5724, 6.5144 Å; angles 90.00, 90.00, 90.00 degrees
Closest atoms and distances in Å follow each position.
Sites, in units of the cell vectors:
Li1 0.0000 0.0000 0.0000  8 Mg 2.77-2.78
Li2 0.5000 0.5000 0.5000  8 Mg 2.84
Mg1 0.0000 0.5000 0.2403  4 Li 2.77-2.84, 2 Pt 2.77, 2 Au 2.84
Mg2 0.0000 0.5000 0.7581  4 Li 2.78-2.84, 2 Pt 2.78, 2 Au 2.84
Mg3 0.5000 0.0000 0.2419  4 Li 2.78-2.84, 2 Pt 2.78, 2 Au 2.84
Mg4 0.5000 0.0000 0.7597  4 Li 2.77-2.84, 2 Pt 2.77, 2 Au 2.84
Pt1 0.5000 0.5000 0.0000  8 Mg 2.77-2.78
Au1 0.0000 0.0000 0.5000  8 Mg 2.84

Output
- uncorrected energy (eV/atom) = -2.973
- space-group type = No. 115

First-principles (PBE) data for an optimized crystal structure of Li2Mg2Tl2PtAu, as listed in the Open Quantum Materials Database.

Cell lengths 4.6946, 4.6946, 6.6816 Å; angles 90.00, 90.00, 90.00 degrees
Closest atoms and distances in Å follow each position.
Sites, in units of the cell vectors:
Li1 0.0000 0.0000 0.0000  4 Tl 2.85, 4 Mg 2.85
Li2 0.5000 0.5000 0.5000  4 Mg 2.91, 4 Tl 2.92
Mg1 0.0000 0.5000 0.2418  4 Li 2.85-2.91, 2 Pt 2.85, 2 Au 2.91
Mg2 0.5000 0.0000 0.7582  4 Li 2.85-2.91, 2 Pt 2.85, 2 Au 2.91
Tl1 0.0000 0.5000 0.7587  4 Li 2.85-2.92, 2 Pt 2.85, 2 Au 2.92
Tl2 0.5000 0.0000 0.2413  4 Li 2.85-2.92, 2 Pt 2.85, 2 Au 2.92
Pt1 0.5000 0.5000 0.0000  4 Tl 2.85, 4 Mg 2.85
Au1 0.0000 0.0000 0.5000  4 Mg 2.91, 4 Tl 2.92

Output
- uncorrected energy (eV/atom) = -3.015
- space-group type = No. 115

First-principles (PBE) data for an optimized crystal structure of Li2Mg2Zn2PtAu, as listed in the Open Quantum Materials Database.

Cell lengths 4.4345, 4.4345, 6.3108 Å; angles 90.00, 90.00, 90.00 degrees
Closest atoms and distances in Å follow each position.
Sites, in units of the cell vectors:
Li1 0.0000 0.0000 0.0000  4 Mg 2.75, 4 Zn 2.76
Li2 0.5000 0.5000 0.5000  4 Zn 2.68, 4 Mg 2.69
Mg1 0.0000 0.5000 0.7416  4 Li 2.69-2.75, 2 Pt 2.69, 2 Au 2.75
Mg2 0.5000 0.0000 0.2584  4 Li 2.69-2.75, 2 Pt 2.69, 2 Au 2.75
Zn1 0.0000 0.5000 0.2607  4 Li 2.68-2.76, 2 Pt 2.68, 2 Au 2.76
Zn2 0.5000 0.0000 0.7393  4 Li 2.68-2.76, 2 Pt 2.68, 2 Au 2.76
Pt1 0.0000 0.0000 0.5000  4 Zn 2.68, 4 Mg 2.69
Au1 0.5000 0.5000 0.0000  4 Mg 2.75, 4 Zn 2.76

Output
- uncorrected energy (eV/atom) = -2.870
- space-group type = No. 115

First-principles (PBE) data for an optimized crystal structure of LiMg2ScZn2Au2, as listed in the Open Quantum Materials Database.

Cell lengths 4.5575, 4.5575, 6.4813 Å; angles 90.00, 90.00, 90.00 degrees
Closest atoms and distances in Å follow each position.
Sites, in units of the cell vectors:
Li1 0.0000 0.0000 0.0000  4 Mg 2.71, 4 Zn 2.77
Mg1 0.0000 0.5000 0.7742  2 Li 2.71, 4 Au 2.71-2.89, 2 Sc 2.89, 1 Zn 3.03
Mg2 0.5000 0.0000 0.2258  2 Li 2.71, 4 Au 2.71-2.89, 2 Sc 2.89, 1 Zn 3.03
Sc1 0.5000 0.5000 0.5000  4 Zn 2.83, 4 Mg 2.89
Zn1 0.0000 0.5000 0.2419  2 Li 2.77, 4 Au 2.77-2.83, 2 Sc 2.83, 1 Mg 3.03
Zn2 0.5000 0.0000 0.7581  2 Li 2.77, 4 Au 2.77-2.83, 2 Sc 2.83, 1 Mg 3.03
Au1 0.0000 0.0000 0.5000  4 Zn 2.83, 4 Mg 2.89
Au2 0.5000 0.5000 0.0000  4 Mg 2.71, 4 Zn 2.77

Output
- uncorrected energy (eV/atom) = -2.980
- space-group type = No. 115

First-principles (PBE) data for an optimized crystal structure of Li4MgSn2Au, as listed in the Open Quantum Materials Database.

Cell lengths 4.6737, 4.6737, 6.6389 Å; angles 90.00, 90.00, 90.00 degrees
Closest atoms and distances in Å follow each position.
Sites, in units of the cell vectors:
Li1 0.0000 0.0000 0.0000  4 Li 2.77, 4 Sn 2.85
Li2 0.0000 0.5000 0.2237  4 Li 2.77-2.97, 2 Au 2.77, 2 Mg 2.97
Li3 0.5000 0.0000 0.7763  4 Li 2.77-2.97, 2 Au 2.77, 2 Mg 2.97
Li4 0.5000 0.5000 0.5000  4 Sn 2.88, 4 Li 2.97
Mg1 0.0000 0.0000 0.5000  4 Sn 2.88, 4 Li 2.97
Sn1 0.0000 0.5000 0.7543  5 Li 2.85-3.12, 2 Au 2.85, 2 Mg 2.88
Sn2 0.5000 0.0000 0.2457  5 Li 2.85-3.12, 2 Au 2.85, 2 Mg 2.88
Au1 0.5000 0.5000 0.0000  4 Li 2.77, 4 Sn 2.85

Output
- uncorrected energy (eV/atom) = -2.988
- space-group type = No. 115

First-principles (PBE) data for an optimized crystal structure of Li4Mg2SnAu, as listed in the Open Quantum Materials Database.

Cell lengths 4.6140, 4.6140, 6.6459 Å; angles 90.00, 90.00, 90.00 degrees
Closest atoms and distances in Å follow each position.
Sites, in units of the cell vectors:
Li1 0.0000 0.0000 0.0000  4 Mg 2.77, 4 Li 2.81
Li2 0.0000 0.5000 0.2422  4 Li 2.81-2.87, 2 Au 2.81, 2 Sn 2.87, 1 Mg 3.14
Li3 0.5000 0.0000 0.7578  4 Li 2.81-2.87, 2 Au 2.81, 2 Sn 2.87, 1 Mg 3.14
Li4 0.5000 0.5000 0.5000  4 Li 2.87, 4 Mg 2.92
Mg1 0.0000 0.5000 0.7691  4 Li 2.77-2.92, 2 Au 2.77, 2 Sn 2.92
Mg2 0.5000 0.0000 0.2309  4 Li 2.77-2.92, 2 Au 2.77, 2 Sn 2.92
Sn1 0.0000 0.0000 0.5000  4 Li 2.87, 4 Mg 2.92
Au1 0.5000 0.5000 0.0000  4 Mg 2.77, 4 Li 2.81

Output
- uncorrected energy (eV/atom) = -2.647
- space-group type = No. 115

First-principles (PBE) data for an optimized crystal structure of Li4MgSnAu2, as listed in the Open Quantum Materials Database.

Cell lengths 4.5778, 4.5778, 6.4189 Å; angles 90.00, 90.00, 90.00 degrees
Closest atoms and distances in Å follow each position.
Sites, in units of the cell vectors:
Li1 0.0000 0.0000 0.0000  4 Li 2.80, 4 Au 2.83
Li2 0.0000 0.5000 0.7490  4 Li 2.79-2.80, 2 Mg 2.79, 2 Sn 2.80
Li3 0.5000 0.0000 0.2510  4 Li 2.79-2.80, 2 Mg 2.79, 2 Sn 2.80
Li4 0.5000 0.5000 0.5000  4 Au 2.76, 4 Li 2.79
Mg1 0.0000 0.0000 0.5000  4 Au 2.76, 4 Li 2.79
Sn1 0.5000 0.5000 0.0000  4 Li 2.80, 4 Au 2.83
Au1 0.0000 0.5000 0.2592  4 Li 2.76-2.83, 2 Mg 2.76, 2 Sn 2.83
Au2 0.5000 0.0000 0.7408  4 Li 2.76-2.83, 2 Mg 2.76, 2 Sn 2.83

Output
- uncorrected energy (eV/atom) = -2.953
- space-group type = No. 115

First-principles (PBE) data for an optimized crystal structure of LiTbMg2Au4, as listed in the Open Quantum Materials Database.

Cell lengths 4.7832, 4.7832, 6.7088 Å; angles 90.00, 90.00, 90.00 degrees
Closest atoms and distances in Å follow each position.
Sites, in units of the cell vectors:
Li1 0.0000 0.0000 0.0000  8 Au 2.84
Tb1 0.5000 0.5000 0.5000  8 Au 3.01, 2 Mg 3.35
Mg1 0.0000 0.0000 0.5000  8 Au 3.01, 2 Li 3.35
Mg2 0.5000 0.5000 0.0000  8 Au 2.84
Au1 0.0000 0.5000 0.2287  2 Li 2.84, 4 Mg 2.84-3.01, 2 Tb 3.01, 1 Au 3.07
Au2 0.0000 0.5000 0.7713  2 Li 2.84, 4 Mg 2.84-3.01, 2 Tb 3.01, 1 Au 3.07
Au3 0.5000 0.0000 0.2287  2 Li 2.84, 4 Mg 2.84-3.01, 2 Tb 3.01, 1 Au 3.07
Au4 0.5000 0.0000 0.7713  2 Li 2.84, 4 Mg 2.84-3.01, 2 Tb 3.01, 1 Au 3.07

Output
- uncorrected energy (eV/atom) = -3.497
- space-group type = No. 123

First-principles (PBE) data for an optimized crystal structure of Li4Mg2TlAu, as listed in the Open Quantum Materials Database.

Cell lengths 4.6188, 4.6188, 6.7005 Å; angles 90.00, 90.00, 90.00 degrees
Closest atoms and distances in Å follow each position.
Sites, in units of the cell vectors:
Li1 0.0000 0.0000 0.0000  4 Mg 2.77, 4 Li 2.80
Li2 0.0000 0.5000 0.2369  4 Li 2.80-2.91, 2 Au 2.80, 2 Tl 2.91, 1 Mg 3.11
Li3 0.5000 0.0000 0.7631  4 Li 2.80-2.91, 2 Au 2.80, 2 Tl 2.91, 1 Mg 3.11
Li4 0.5000 0.5000 0.5000  4 Li 2.91, 4 Mg 2.94
Mg1 0.0000 0.5000 0.7725  4 Li 2.77-2.94, 2 Au 2.77, 2 Tl 2.94
Mg2 0.5000 0.0000 0.2275  4 Li 2.77-2.94, 2 Au 2.77, 2 Tl 2.94
Tl1 0.0000 0.0000 0.5000  4 Li 2.91, 4 Mg 2.94
Au1 0.5000 0.5000 0.0000  4 Mg 2.77, 4 Li 2.80

Output
- uncorrected energy (eV/atom) = -2.365
- space-group type = No. 115

First-principles (PBE) data for an optimized crystal structure of Li2Mg2TlZnAu2, as listed in the Open Quantum Materials Database.

Cell lengths 4.6046, 4.6046, 6.6327 Å; angles 90.00, 90.00, 90.00 degrees
Closest atoms and distances in Å follow each position.
Sites, in units of the cell vectors:
Li1 0.0000 0.5000 0.2308  2 Zn 2.76, 4 Mg 2.76-2.91, 2 Tl 2.91, 1 Au 3.01
Li2 0.5000 0.0000 0.7692  2 Zn 2.76, 4 Mg 2.76-2.91, 2 Tl 2.91, 1 Au 3.01
Mg1 0.0000 0.0000 0.0000  4 Au 2.74, 4 Li 2.76
Mg2 0.5000 0.5000 0.5000  4 Li 2.91, 4 Au 2.95, 4 Tl 3.26
Tl1 0.0000 0.0000 0.5000  4 Li 2.91, 4 Au 2.95, 4 Mg 3.26
Zn1 0.5000 0.5000 0.0000  4 Au 2.74, 4 Li 2.76
Au1 0.0000 0.5000 0.7771  2 Zn 2.74, 4 Mg 2.74-2.95, 2 Tl 2.95, 1 Li 3.01
Au2 0.5000 0.0000 0.2229  2 Zn 2.74, 4 Mg 2.74-2.95, 2 Tl 2.95, 1 Li 3.01

Output
- uncorrected energy (eV/atom) = -2.518
- space-group type = No. 115

First-principles (PBE) data for an optimized crystal structure of LiMg2ZnAu4, as listed in the Open Quantum Materials Database.

Cell lengths 4.5674, 4.5674, 6.4530 Å; angles 90.00, 90.00, 90.00 degrees
Closest atoms and distances in Å follow each position.
Sites, in units of the cell vectors:
Li1 0.0000 0.0000 0.0000  8 Au 2.79
Mg1 0.0000 0.0000 0.5000  8 Au 2.80
Mg2 0.5000 0.5000 0.0000  8 Au 2.79
Zn1 0.5000 0.5000 0.5000  8 Au 2.80
Au1 0.0000 0.5000 0.2493  2 Li 2.79, 4 Mg 2.79-2.80, 2 Zn 2.80
Au2 0.0000 0.5000 0.7507  2 Li 2.79, 4 Mg 2.79-2.80, 2 Zn 2.80
Au3 0.5000 0.0000 0.2493  2 Li 2.79, 4 Mg 2.79-2.80, 2 Zn 2.80
Au4 0.5000 0.0000 0.7507  2 Li 2.79, 4 Mg 2.79-2.80, 2 Zn 2.80

Output
- uncorrected energy (eV/atom) = -2.932
- space-group type = No. 123

First-principles (PBE) data for an optimized crystal structure of Li2Mg3ZnAu2, as listed in the Open Quantum Materials Database.

Cell lengths 4.5600, 4.5600, 6.4791 Å; angles 90.00, 90.00, 90.00 degrees
Closest atoms and distances in Å follow each position.
Sites, in units of the cell vectors:
Li1 0.0000 0.5000 0.2325  2 Zn 2.73, 6 Mg 2.73-2.86
Li2 0.5000 0.0000 0.7675  2 Zn 2.73, 6 Mg 2.73-2.86
Mg1 0.0000 0.0000 0.0000  4 Li 2.73, 4 Au 2.78
Mg2 0.0000 0.0000 0.5000  4 Au 2.81, 4 Li 2.86
Mg3 0.5000 0.5000 0.5000  4 Au 2.81, 4 Li 2.86
Zn1 0.5000 0.5000 0.0000  4 Li 2.73, 4 Au 2.78
Au1 0.0000 0.5000 0.7541  2 Zn 2.78, 6 Mg 2.78-2.81, 1 Li 3.10
Au2 0.5000 0.0000 0.2459  2 Zn 2.78, 6 Mg 2.78-2.81, 1 Li 3.10

Output
- uncorrected energy (eV/atom) = -2.491
- space-group type = No. 115

First-principles (PBE) data for an optimized crystal structure of Li4MgZnAu2, as listed in the Open Quantum Materials Database.

Cell lengths 4.4368, 4.4368, 6.3696 Å; angles 90.00, 90.00, 90.00 degrees
Closest atoms and distances in Å follow each position.
Sites, in units of the cell vectors:
Li1 0.0000 0.0000 0.0000  4 Au 2.76, 4 Li 2.82
Li2 0.0000 0.5000 0.7269  4 Li 2.65-2.82, 2 Zn 2.65, 2 Mg 2.82
Li3 0.5000 0.0000 0.2731  4 Li 2.65-2.82, 2 Zn 2.65, 2 Mg 2.82
Li4 0.5000 0.5000 0.5000  4 Li 2.65, 4 Au 2.70
Mg1 0.5000 0.5000 0.0000  4 Au 2.76, 4 Li 2.82
Zn1 0.0000 0.0000 0.5000  4 Li 2.65, 4 Au 2.70
Au1 0.0000 0.5000 0.2576  5 Li 2.70-2.99, 2 Zn 2.70, 2 Mg 2.76
Au2 0.5000 0.0000 0.7424  5 Li 2.70-2.99, 2 Zn 2.70, 2 Mg 2.76

Output
- uncorrected energy (eV/atom) = -2.563
- space-group type = No. 115

First-principles (PBE) data for an optimized crystal structure of Li2Mo3Au2, as listed in the Open Quantum Materials Database.

Cell lengths 7.0765, 7.0765, 7.0765 Å; angles 35.82, 35.82, 35.82 degrees
Closest atoms and distances in Å follow each position.
Sites, in units of the cell vectors:
Li1 0.0000 0.0000 0.0000  6 Au 2.64-2.68, 1 Mo 2.88
Li2 0.4234 0.4234 0.4234  4 Au 2.60-2.66, 4 Mo 2.75-2.79
Mo1 0.1512 0.1512 0.1512  3 Mo 2.62, 3 Li 2.79, 1 Au 2.81
Mo2 0.5619 0.5619 0.5619  6 Mo 2.64-2.94, 1 Li 2.75, 3 Au 2.82
Mo3 0.8551 0.8551 0.8551  6 Mo 2.62-2.64, 1 Au 2.81, 1 Li 2.88
Au1 0.2926 0.2926 0.2926  4 Li 2.60-2.64, 4 Mo 2.81-2.82
Au2 0.7134 0.7134 0.7134  6 Li 2.66-2.68, 1 Mo 2.81

Output
- uncorrected energy (eV/atom) = -6.040
- space-group type = No. 160

First-principles (PBE) data for an optimized crystal structure of LiMo2Au, as listed in the Open Quantum Materials Database.

Cell lengths 4.4448, 4.4448, 4.4448 Å; angles 60.00, 60.00, 60.00 degrees
Closest atoms and distances in Å follow each position.
Sites, in units of the cell vectors:
Li1 0.0000 0.0000 0.0000  4 Au 2.72, 4 Mo 2.72
Mo1 0.5000 0.5000 0.5000  4 Mo 2.72, 4 Au 2.72
Mo2 0.7500 0.7500 0.7500  4 Mo 2.72, 4 Li 2.72
Au1 0.2500 0.2500 0.2500  4 Mo 2.72, 4 Li 2.72

Output
- uncorrected energy (eV/atom) = -6.401
- space-group type = No. 216

First-principles (PBE) data for an optimized crystal structure of Li4MoAu3, as listed in the Open Quantum Materials Database.

Cell lengths 5.1981, 5.1981, 5.1981 Å; angles 90.00, 90.00, 90.00 degrees
Closest atoms and distances in Å follow each position.
Sites, in units of the cell vectors:
Li1 0.0000 0.0000 0.0000  6 Au 2.60
Li2 0.0000 0.5000 0.5000  2 Mo 2.60, 4 Au 2.60
Li3 0.5000 0.0000 0.5000  2 Mo 2.60, 4 Au 2.60
Li4 0.5000 0.5000 0.0000  2 Mo 2.60, 4 Au 2.60
Mo1 0.5000 0.5000 0.5000  6 Li 2.60
Au1 0.0000 0.0000 0.5000  6 Li 2.60
Au2 0.0000 0.5000 0.0000  6 Li 2.60
Au3 0.5000 0.0000 0.0000  6 Li 2.60

Output
- uncorrected energy (eV/atom) = -3.206
- space-group type = No. 221

First-principles (PBE) data for an optimized crystal structure of LiMoAu2, as listed in the Open Quantum Materials Database.

Cell lengths 4.4939, 4.4939, 4.4939 Å; angles 60.00, 60.00, 60.00 degrees
Closest atoms and distances in Å follow each position.
Sites, in units of the cell vectors:
Li1 0.0000 0.0000 0.0000  4 Mo 2.75, 4 Au 2.75
Mo1 0.2500 0.2500 0.2500  4 Li 2.75, 4 Au 2.75
Au1 0.5000 0.5000 0.5000  4 Mo 2.75, 4 Au 2.75
Au2 0.7500 0.7500 0.7500  4 Li 2.75, 4 Au 2.75

Output
- uncorrected energy (eV/atom) = -4.534
- space-group type = No. 216

First-principles (PBE) data for an optimized crystal structure of LiMoPdAu, as listed in the Open Quantum Materials Database.

Cell lengths 4.4547, 4.4547, 4.4547 Å; angles 60.00, 60.00, 60.00 degrees
Closest atoms and distances in Å follow each position.
Sites, in units of the cell vectors:
Li1 0.0000 0.0000 0.0000  4 Au 2.73, 4 Pd 2.73
Mo1 0.5000 0.5000 0.5000  4 Au 2.73, 4 Pd 2.73
Pd1 0.2500 0.2500 0.2500  4 Mo 2.73, 4 Li 2.73
Au1 0.7500 0.7500 0.7500  4 Mo 2.73, 4 Li 2.73

Output
- uncorrected energy (eV/atom) = -5.214
- space-group type = No. 216

First-principles (PBE) data for an optimized crystal structure of LiMoPdAu, as listed in the Open Quantum Materials Database.

Cell lengths 4.4147, 4.4147, 4.4147 Å; angles 60.00, 60.00, 60.00 degrees
Closest atoms and distances in Å follow each position.
Sites, in units of the cell vectors:
Li1 0.0000 0.0000 0.0000  4 Mo 2.70, 4 Pd 2.70
Mo1 0.7500 0.7500 0.7500  4 Au 2.70, 4 Li 2.70
Pd1 0.2500 0.2500 0.2500  4 Au 2.70, 4 Li 2.70
Au1 0.5000 0.5000 0.5000  4 Mo 2.70, 4 Pd 2.70

Output
- uncorrected energy (eV/atom) = -5.095
- space-group type = No. 216